# Mo2RuPt

A PBEsol-optimized structure of Mo2RuPt (meta-GGA SCAN, the Alexandria database). Values from VASP.

Computed properties:
The value obtained for the density of states at the Fermi level is 0.5507 states/eV per atom. As for the spin magnetization: 0.0 Bohr magnetons per cell. The formation energy is -0.2633 eV/atom. As for the space-group type: I4/mmm.

Geometry as Quantum ESPRESSO input:
```
&SYSTEM
  ibrav = 0, nat = 4, ntyp = 3
/
ATOMIC_SPECIES
Mo 95.94 Mo.upf
Ru 101.07 Ru.upf
Pt 195.08 Pt.upf
CELL_PARAMETERS angstrom
-1.9335 1.9335 3.8851
1.9335 -1.9335 3.8851
1.9335 1.9335 -3.8851
ATOMIC_POSITIONS crystal
Mo 0.2500 0.7500 0.5000
Mo 0.7500 0.2500 0.5000
Ru 0.0000 0.0000 0.0000
Pt 0.5000 0.5000 0.0000
```


# K3MgCo

A PBEsol-optimized structure of K3MgCo (meta-GGA SCAN, the Alexandria database). Values from VASP.

Computed properties:
The value obtained for the density of states at the Fermi level is 1.3193 states/eV per atom. As for the spin magnetization: 2.2 Bohr magnetons per cell. The formation energy is 0.9132 eV/atom. As for the space-group type: Pm-3m.

Geometry as Quantum ESPRESSO input:
```
&SYSTEM
  ibrav = 0, nat = 5, ntyp = 3
/
ATOMIC_SPECIES
K 39.10 K.upf
Mg 24.30 Mg.upf
Co 58.93 Co.upf
CELL_PARAMETERS angstrom
6.6260 0.0000 0.0000
0.0000 6.6260 0.0000
0.0000 0.0000 6.6260
ATOMIC_POSITIONS crystal
K 0.0000 0.0000 0.5000
K 0.0000 0.5000 0.0000
K 0.5000 0.0000 0.0000
Mg 0.0000 0.0000 0.0000
Co 0.5000 0.5000 0.5000
```


# TcBrCl

A PBEsol-optimized structure of TcBrCl (meta-GGA SCAN, the Alexandria database). Values from VASP.

Computed properties:
The value obtained for the density of states at the Fermi level is 0.7198 states/eV per atom. As for the spin magnetization: 0.0 Bohr magnetons per cell. As for the space-group type: I4mm. The uncorrected formation energy comes out at 340.1 meV per atom.

Geometry as Quantum ESPRESSO input:
```
&SYSTEM
  ibrav = 0, nat = 3, ntyp = 3
/
ATOMIC_SPECIES
Tc 98.00 Tc.upf
Br 79.90 Br.upf
Cl 35.45 Cl.upf
CELL_PARAMETERS angstrom
-1.5407 1.5407 6.0125
1.5407 -1.5407 6.0125
1.5407 1.5407 -6.0125
ATOMIC_POSITIONS crystal
Tc 0.0000 0.0000 0.0000
Br 0.6134 0.6134 0.0000
Cl 0.3648 0.3648 0.0000
```


# ReIrBr2

A PBEsol-optimized structure of ReIrBr2 (meta-GGA SCAN, the Alexandria database). Values from VASP.

Computed properties:
The value obtained for the density of states at the Fermi level is 0.7601 states/eV per atom. As for the spin magnetization: 0.8 Bohr magnetons per cell. As for the space-group type: P2/m. The uncorrected formation energy comes out at 1438.1 meV per atom.

Geometry as Quantum ESPRESSO input:
```
&SYSTEM
  ibrav = 0, nat = 4, ntyp = 3
/
ATOMIC_SPECIES
Re 186.21 Re.upf
Ir 192.22 Ir.upf
Br 79.90 Br.upf
CELL_PARAMETERS angstrom
2.9591 0.0000 0.0000
0.0000 4.4255 0.0000
-0.3872 0.0000 5.1617
ATOMIC_POSITIONS crystal
Re 0.0000 0.0000 0.0000
Ir 0.5000 0.0000 0.5000
Br 0.2195 0.5000 0.2491
Br 0.7805 0.5000 0.7509
```


# KInAu2

A PBEsol-optimized structure of KInAu2 (meta-GGA SCAN, the Alexandria database). Values from VASP.

Computed properties:
The value obtained for the density of states at the Fermi level is 0.3297 states/eV per atom. As for the spin magnetization: 0.0 Bohr magnetons per cell. The formation energy is -0.3737 eV/atom. As for the space-group type: R-3m.

Geometry as Quantum ESPRESSO input:
```
&SYSTEM
  ibrav = 0, nat = 4, ntyp = 3
/
ATOMIC_SPECIES
K 39.10 K.upf
In 114.82 In.upf
Au 196.97 Au.upf
CELL_PARAMETERS angstrom
2.3788 1.3734 5.7812
-2.3788 1.3734 5.7812
0.0000 -2.7468 5.7812
ATOMIC_POSITIONS crystal
K 0.0000 0.0000 0.0000
In 0.5000 0.5000 0.5000
Au 0.1850 0.1850 0.1850
Au 0.8150 0.8150 0.8150
```


# Mg3MnOs

A PBEsol-optimized structure of Mg3MnOs (meta-GGA SCAN, the Alexandria database). Values from VASP.

Computed properties:
The value obtained for the density of states at the Fermi level is 0.9200 states/eV per atom. As for the spin magnetization: 5.7 Bohr magnetons per cell. The formation energy is 1.4477 eV/atom. As for the space-group type: Pm-3m.

Geometry as Quantum ESPRESSO input:
```
&SYSTEM
  ibrav = 0, nat = 5, ntyp = 3
/
ATOMIC_SPECIES
Mg 24.30 Mg.upf
Mn 54.94 Mn.upf
Os 190.23 Os.upf
CELL_PARAMETERS angstrom
4.6758 0.0000 0.0000
0.0000 4.6758 0.0000
0.0000 0.0000 4.6758
ATOMIC_POSITIONS crystal
Mg 0.0000 0.0000 0.5000
Mg 0.0000 0.5000 0.0000
Mg 0.5000 0.0000 0.0000
Mn 0.0000 0.0000 0.0000
Os 0.5000 0.5000 0.5000
```


Which of these has the highest spin magnetization?
Mg3MnOs